Entry 1:
Entry from Alexandria via LeMat-Bulk: an optimized crystal structure of NpCr2Ge2 (PBE-GGA).

```
data_NpCr2Ge2
_chemical_formula_sum 'Np2 Cr4 Ge4'
_symmetry_space_group_name_H-M 'I 4/m m m'
_symmetry_Int_Tables_number 139
_symmetry_space_group_name_Hall '-I 4 2'
_cell_length_a 3.880
_cell_length_b 3.880
_cell_length_c 11.097
_cell_angle_alpha 90.00
_cell_angle_beta 90.00
_cell_angle_gamma 90.00
loop_
_atom_site_label
_atom_site_type_symbol
_atom_site_fract_x
_atom_site_fract_y
_atom_site_fract_z
_atom_site_occupancy
Np1 Np 0.000 0.000 0.000 1
Cr1 Cr 0.000 0.500 0.250 1
Ge1 Ge 0.000 0.000 0.385 1
```

Values from the calculation:
calculated total energy	-8.277	eV per atom
ΔE_f	0.0	eV/f.u.



Entry 2:
Entry from Alexandria via LeMat-Bulk: an optimized crystal structure of NpCrGe2 (PBE-GGA).

```
data_NpCrGe2
_chemical_formula_sum 'Np3 Cr3 Ge6'
_symmetry_space_group_name_H-M 'R -3 m'
_symmetry_Int_Tables_number 166
_symmetry_space_group_name_Hall '-R 3 2"'
_cell_length_a 4.7471
_cell_length_b 4.7471
_cell_length_c 19.6741
_cell_angle_alpha 90.00
_cell_angle_beta 90.00
_cell_angle_gamma 120.00
loop_
_atom_site_label
_atom_site_type_symbol
_atom_site_fract_x
_atom_site_fract_y
_atom_site_fract_z
_atom_site_occupancy
Np1 Np 0.0000 0.0000 0.0000 1
Cr1 Cr 0.0000 0.0000 0.5000 1
Ge1 Ge 0.0000 0.0000 0.3721 1
```

Values from the calculation:
calculated total energy	-6.940	eV per atom
ΔE_f	4.0	eV/f.u.
offset from the most stable computed form	967	meV/atom



Number 1: M_tot 10.52 μB per cell, DOS(E_F) 2.045 states/eV per atom. Number 2: M_tot 26.18 μB per cell, DOS(E_F) 2.215 states/eV per atom.